VASP calculation (PBE) on crystalline TlSeS2 at its relaxed geometry.

## Properties
The value obtained for the formation energy without anion corrections is 0.60 eV per formula unit. The value obtained for the magnetic moment is 0.0 Bohr magnetons per cell. As for the symmetry: R-3m, No. 166. The excess energy over the best structure of this formula in the dataset comes out at 243.7 meV per atom.

Geometry as POSCAR:
```
TlSeS2
1.0
1.907 7.692 1.873
5.256 6.215 0.261
2.306 7.522 -2.103
Tl S Se
1 2 1
Cartesian
4.734 10.714 0.015
0.958 2.167 0.003
8.511 19.261 0.028
0.000 0.000 0.000
```